[1]
A plane-wave DFT calculation with PBE was carried out for an optimized crystal structure of ZnAu2Br.

Cell lengths 4.541, 4.265, 4.562 Å; angles 90.00, 99.15, 90.00 degrees
Fractional coordinates of all 4 atoms:
Zn: 0.000 0.000 0.000
Au: 0.210 0.500 0.790
Au: 0.790 0.500 0.210
Br: 0.500 0.000 0.500

[2]
A plane-wave DFT calculation with PBE was carried out for an optimized crystal structure of ZnAu2Br.

Cell lengths 3.380, 5.916, 8.662 Å; angles 90.00, 90.00, 90.00 degrees
Fractional coordinates of all 8 atoms:
Zn: 0.000 0.000 0.000
Zn: 0.500 0.500 0.000
Au: 0.000 0.000 0.472
Au: 0.000 0.500 0.222
Au: 0.500 0.000 0.222
Au: 0.500 0.500 0.472
Br: 0.000 0.500 0.785
Br: 0.500 0.000 0.785

[3]
A plane-wave DFT calculation with PBE was carried out for an optimized crystal structure of ZnAuBr2.

Cell lengths 3.848, 7.516, 7.737 Å; angles 90.00, 90.00, 90.00 degrees
Fractional coordinates of all 8 atoms:
Zn: 0.000 0.000 0.000
Zn: 0.500 0.500 0.500
Au: 0.000 0.000 0.500
Au: 0.500 0.500 0.000
Br: 0.000 0.500 0.259
Br: 0.000 0.500 0.741
Br: 0.500 0.000 0.241
Br: 0.500 0.000 0.759

[4]
A plane-wave DFT calculation with PBE was carried out for an optimized crystal structure of ZnAuBr2.

Cell lengths 7.109, 7.109, 7.109 Å; angles 90.00, 90.00, 90.00 degrees
Fractional coordinates of all 16 atoms:
Zn: 0.000 0.000 0.000
Zn: 0.000 0.500 0.500
Zn: 0.500 0.000 0.500
Zn: 0.500 0.500 0.000
Au: 0.000 0.000 0.500
Au: 0.000 0.500 0.000
Au: 0.500 0.000 0.000
Au: 0.500 0.500 0.500
Br: 0.250 0.250 0.250
Br: 0.250 0.250 0.750
Br: 0.250 0.750 0.250
Br: 0.250 0.750 0.750
Br: 0.750 0.250 0.250
Br: 0.750 0.250 0.750
Br: 0.750 0.750 0.250
Br: 0.750 0.750 0.750

| no. | energy (eV/cell) | ρ (Mg/m³) | V (Å³/cell) |
| --- | --- | --- | --- |
| 1 | -9.36 | 10.262 | 87.3 |
| 2 | -18.33 | 10.341 | 173.2 |
| 3 | -15.89 | 6.266 | 223.8 |
| 4 | -27.97 | 7.806 | 359.2 |